# BaAg2Te | the Alexandria database | PBE-GGA | relaxed
# Raw formation energy, meV per atom: -475
# D(E_F), states/eV/cell: 1.2
data_BaAg2Te
_space_group_name_H-M_alt 'P 1'
_space_group_IT_number 1
_cell_length_a 4.7696
_cell_length_b 4.6346
_cell_length_c 6.0203
_cell_angle_alpha 89.83
_cell_angle_beta 90.00
_cell_angle_gamma 90.00
loop_
_space_group_symop_operation_xyz
'x,y,z'
loop_
_atom_site_label
_atom_site_fract_x
_atom_site_fract_y
_atom_site_fract_z
_atom_site_occupancy
Te1 0.5000 0.9991 0.7250 1
Ba1 0.0000 0.5001 0.5094 1
Ag1 0.0000 0.9995 0.0196 1
Ag2 0.5000 0.0013 0.2460 1

# Zn2Cd2P | the Alexandria database | PBE-GGA | relaxed
# D(E_F), states/eV/cell: 2.9
data_Zn2Cd2P
_space_group_name_H-M_alt 'P 1'
_space_group_IT_number 1
_cell_length_a 8.3213
_cell_length_b 8.3213
_cell_length_c 2.7861
_cell_angle_alpha 90.00
_cell_angle_beta 90.00
_cell_angle_gamma 90.00
loop_
_space_group_symop_operation_xyz
'x,y,z'
loop_
_atom_site_label
_atom_site_fract_x
_atom_site_fract_y
_atom_site_fract_z
_atom_site_occupancy
P1 0.0000 0.0000 0.0000 1
P2 0.5000 0.5000 0.0000 1
Zn1 0.1080 0.6080 0.5000 1
Zn2 0.6080 0.8920 0.5000 1
Zn3 0.8920 0.3920 0.5000 1
Zn4 0.3920 0.1080 0.5000 1
Cd1 0.3081 0.8081 0.0000 1
Cd2 0.8081 0.6919 0.0000 1
Cd3 0.6919 0.1919 0.0000 1
Cd4 0.1919 0.3081 0.0000 1

# ReAgP2 | the Alexandria database | PBE-GGA | relaxed
# D(E_F), states/eV/cell: 2.6
data_ReAgP2
_space_group_name_H-M_alt 'P 1'
_space_group_IT_number 1
_cell_length_a 6.5387
_cell_length_b 5.7040
_cell_length_c 2.5954
_cell_angle_alpha 62.95
_cell_angle_beta 113.36
_cell_angle_gamma 131.56
loop_
_space_group_symop_operation_xyz
'x,y,z'
loop_
_atom_site_label
_atom_site_fract_x
_atom_site_fract_y
_atom_site_fract_z
_atom_site_occupancy
Ag1 0.5000 0.5000 0.0000 1
P1 0.0000 0.0000 0.0000 1
P2 0.5000 0.0000 0.5000 1
Re1 0.0000 0.5000 0.5000 1

# Hg2PtBr | the Alexandria database | PBE-GGA | relaxed
# Raw formation energy, meV per atom: 313
# D(E_F), states/eV/cell: 2.0
data_Hg2PtBr
_space_group_name_H-M_alt 'P 1'
_space_group_IT_number 1
_cell_length_a 6.9145
_cell_length_b 6.9145
_cell_length_c 6.9145
_cell_angle_alpha 146.83
_cell_angle_beta 146.83
_cell_angle_gamma 47.61
loop_
_space_group_symop_operation_xyz
'x,y,z'
loop_
_atom_site_label
_atom_site_fract_x
_atom_site_fract_y
_atom_site_fract_z
_atom_site_occupancy
Br1 0.7500 0.2500 0.5000 1
Hg1 0.0000 0.0000 0.0000 1
Hg2 0.2500 0.7500 0.5000 1
Pt1 0.5000 0.5000 0.0000 1

# NaAc2Au | the Alexandria database | PBE-GGA | relaxed
# D(E_F), states/eV/cell: 4.1
data_NaAc2Au
_space_group_name_H-M_alt 'P 1'
_space_group_IT_number 1
_cell_length_a 4.1334
_cell_length_b 5.6392
_cell_length_c 5.6392
_cell_angle_alpha 90.00
_cell_angle_beta 90.00
_cell_angle_gamma 90.00
loop_
_space_group_symop_operation_xyz
'x,y,z'
loop_
_atom_site_label
_atom_site_fract_x
_atom_site_fract_y
_atom_site_fract_z
_atom_site_occupancy
Na1 0.5000 0.5000 0.5000 1
Ac1 0.0000 0.0000 0.5000 1
Ac2 0.0000 0.5000 0.0000 1
Au1 0.5000 0.0000 0.0000 1

# Ba2MgPtI | the Alexandria database | PBE-GGA | relaxed
# Raw formation energy, meV per atom: -824
# D(E_F), states/eV/cell: 3.6
data_Ba2MgPtI
_space_group_name_H-M_alt 'P 1'
_space_group_IT_number 1
_cell_length_a 6.2405
_cell_length_b 6.2405
_cell_length_c 5.1013
_cell_angle_alpha 90.00
_cell_angle_beta 90.00
_cell_angle_gamma 90.00
loop_
_space_group_symop_operation_xyz
'x,y,z'
loop_
_atom_site_label
_atom_site_fract_x
_atom_site_fract_y
_atom_site_fract_z
_atom_site_occupancy
I1 0.5000 0.5000 0.5000 1
Mg1 0.0000 0.0000 0.5000 1
Ba1 0.0000 0.5000 0.0000 1
Ba2 0.5000 0.0000 0.0000 1
Pt1 0.0000 0.0000 0.0000 1

VASP energy for every record listed, in sequence, given in eV/atom: -3.166; -1.672; -5.968; -1.766; -3.409; -3.430.